1.
Here is a relaxed Pr5NdTm2Sc crystal from Alexandria. Energies are from PBE.

Output
E_form, eV per atom: 0.129
SG: No. 36
Electronic total energy, eV/atom: -4.754

Cell lengths 11.3198, 11.3198, 10.3756 Å; angles 90.00, 90.00, 152.41 degrees
Last column: nearest neighbours and their distance in Å.
Fractional coordinates of all 18 atoms:
Pr 0.0001 0.9999 0.0000  2 Nd 3.41-3.42, 4 Tm 3.71, 6 Pr 3.74-3.81
Pr 0.9999 0.0001 0.5000  2 Nd 3.41-3.42, 4 Tm 3.71, 6 Pr 3.74-3.81
Pr 0.1265 0.8735 0.7502  1 Sc 3.49, 4 Tm 3.77, 6 Pr 3.80-3.86
Pr 0.2212 0.7788 0.4386  2 Pr 3.24, 1 Nd 3.29, 3 Sc 3.33-3.53, 2 Tm 3.61
Pr 0.2216 0.7784 0.0629  2 Pr 3.24, 1 Nd 3.29, 3 Sc 3.33-3.53, 2 Tm 3.61
Pr 0.4978 0.5022 0.2501  2 Nd 3.53, 4 Tm 3.63-3.65, 6 Pr 3.74-3.84
Pr 0.5022 0.4978 0.7501  2 Nd 3.53, 4 Tm 3.63-3.65, 6 Pr 3.74-3.84
Pr 0.7784 0.2216 0.5629  2 Pr 3.24, 1 Nd 3.29, 3 Sc 3.33-3.53, 2 Tm 3.61
Pr 0.7788 0.2212 0.9386  2 Pr 3.24, 1 Nd 3.29, 3 Sc 3.33-3.53, 2 Tm 3.61
Pr 0.8735 0.1265 0.2502  1 Sc 3.49, 4 Tm 3.77, 6 Pr 3.80-3.86
Nd 0.1010 0.8990 0.2502  6 Pr 3.29-3.53, 2 Sc 3.68
Nd 0.8990 0.1010 0.7502  6 Pr 3.29-3.53, 2 Sc 3.68
Tm 0.3838 0.6162 0.5033  1 Sc 3.36, 7 Pr 3.61-3.71, 2 Nd 3.74
Tm 0.3842 0.6158 0.9969  1 Sc 3.36, 7 Pr 3.61-3.71, 2 Nd 3.73
Tm 0.6162 0.3838 0.0033  1 Sc 3.36, 7 Pr 3.61-3.71, 2 Nd 3.74
Tm 0.6158 0.3842 0.4969  1 Sc 3.36, 7 Pr 3.61-3.71, 2 Nd 3.73
Sc 0.2852 0.7148 0.7507  7 Pr 3.33-3.53, 2 Tm 3.36, 2 Nd 3.68
Sc 0.7148 0.2852 0.2507  7 Pr 3.33-3.53, 2 Tm 3.36, 2 Nd 3.68


2.
Here is a relaxed CaYCl crystal from Alexandria. Energies are from PBE.

Output
Excess energy over the best structure of this formula in the dataset, eV per atom: 0.1993
Formation energy without anion corrections, eV/atom: -0.7501
SG: No. 107
Electronic total energy, eV/atom: -4.188

Cell lengths 7.3817, 7.3817, 7.3817 Å; angles 152.72, 152.72, 38.97 degrees
Last column: nearest neighbours and their distance in Å.
Fractional coordinates of all 3 atoms:
Ca 0.0000 0.0000 0.0000  4 Cl 3.29, 4 Ca 3.48, 4 Y 3.65
Y 0.6935 0.6935 0.0000  4 Cl 3.22, 4 Y 3.48
Cl 0.3428 0.3428 0.0000  4 Y 3.22, 4 Ca 3.29, 4 Cl 3.48


3.
Here is a relaxed PmPu2C crystal from Alexandria. Energies are from PBE.

Output
Excess energy over the best structure of this formula in the dataset, eV per atom: 0.0000
E_form, eV per atom: 0.241
SG: No. 123
Electronic total energy, eV/atom: -10.419

Cell lengths 3.1802, 3.1802, 8.8032 Å; angles 90.00, 90.00, 90.00 degrees
Last column: nearest neighbours and their distance in Å.
Fractional coordinates of all 4 atoms:
Pm 0.0000 0.0000 0.0000  4 Pm 3.18
Pu 0.5000 0.5000 0.3462  4 C 2.62, 1 Pu 2.71
Pu 0.5000 0.5000 0.6538  4 C 2.62, 1 Pu 2.71
C 0.0000 0.0000 0.5000  8 Pu 2.62


4.
Here is a relaxed KAgPAu crystal from Alexandria. Energies are from PBE.

Output
E_form, eV per atom: -0.254
SG: No. 44
Electronic total energy, eV/atom: -3.413

Cell lengths 5.8102, 5.8102, 5.8102 Å; angles 134.21, 132.73, 67.93 degrees
Last column: nearest neighbours and their distance in Å.
Fractional coordinates of all 4 atoms:
K 0.0000 0.0000 0.0000  5 Ag 3.24-3.61, 5 Au 3.27-3.60, 4 P 3.30-3.35
Ag 0.3361 0.3361 0.0000  2 P 2.50
P 0.7429 0.2429 0.5000  2 Au 2.39, 2 Ag 2.50
Au 0.6612 0.6612 0.0000  2 P 2.39


5.
Here is a relaxed TbAlPb crystal from Alexandria. Energies are from PBE.

Output
E_form, eV per atom: -0.046
SG: No. 107
Electronic total energy, eV/atom: -4.073

Cell lengths 5.3809, 5.3809, 5.3809 Å; angles 133.15, 133.15, 68.41 degrees
Last column: nearest neighbours and their distance in Å.
Fractional coordinates of all 3 atoms:
Tb 0.0000 0.0000 0.0000  5 Pb 3.03-3.34, 5 Al 3.06-3.33
Al 0.6567 0.6567 0.0000  1 Pb 2.81, 1 Tb 3.06
Pb 0.3406 0.3406 0.0000  1 Al 2.81, 1 Tb 3.03


6.
Here is a relaxed Co3BiOs crystal from Alexandria. Energies are from PBE.

Output
Excess energy over the best structure of this formula in the dataset, eV per atom: 1.0182
E_form, eV per atom: 2.240
SG: No. 221
Electronic total energy, eV/atom: -5.046

Cell lengths 4.6379, 4.6379, 4.6379 Å; angles 90.00, 90.00, 90.00 degrees
Last column: nearest neighbours and their distance in Å.
Fractional coordinates of all 5 atoms:
Co 0.0000 0.0000 0.5000  2 Bi 2.32
Co 0.0000 0.5000 0.0000  2 Bi 2.32
Co 0.5000 0.0000 0.0000  2 Bi 2.32
Bi 0.0000 0.0000 0.0000  6 Co 2.32
Os 0.5000 0.5000 0.5000  12 Co 3.28


7.
Here is a relaxed WAu2 crystal from Alexandria. Energies are from PBE.

Output
E_form, eV per atom: 0.805
SG: No. 58
Electronic total energy, eV/atom: -5.697

Cell lengths 6.6729, 6.7401, 2.6885 Å; angles 90.00, 90.00, 90.00 degrees
Last column: nearest neighbours and their distance in Å.
Fractional coordinates of all 6 atoms:
W 0.0000 0.0000 0.0000  6 Au 2.67-2.76, 2 W 2.69
W 0.5000 0.5000 0.5000  6 Au 2.67-2.76, 2 W 2.69
Au 0.1380 0.3313 0.5000  3 W 2.67-2.76, 3 Au 2.69-2.93
Au 0.3620 0.8313 0.0000  3 W 2.67-2.76, 3 Au 2.69-2.93
Au 0.6380 0.1687 0.0000  3 W 2.67-2.76, 3 Au 2.69-2.93
Au 0.8620 0.6687 0.5000  3 W 2.67-2.76, 3 Au 2.69-2.93


8.
Here is a relaxed MgTiNi3 crystal from Alexandria. Energies are from PBE.

Output
Excess energy over the best structure of this formula in the dataset, eV per atom: 0.0000
E_form, eV per atom: 0.581
SG: No. 221
Electronic total energy, eV/atom: -4.786

Cell lengths 4.3737, 4.3737, 4.3737 Å; angles 90.00, 90.00, 90.00 degrees
Last column: nearest neighbours and their distance in Å.
Fractional coordinates of all 5 atoms:
Mg 0.0000 0.0000 0.0000  12 Ni 3.09
Ti 0.5000 0.5000 0.5000  6 Ni 2.19
Ni 0.0000 0.5000 0.5000  2 Ti 2.19
Ni 0.5000 0.0000 0.5000  2 Ti 2.19
Ni 0.5000 0.5000 0.0000  2 Ti 2.19


| no. | D(E_F) (states/eV/cell) |
| --- | --- |
| 1 | 27.10 |
| 2 | 2.47 |
| 3 | 9.75 |
| 4 | 0.04 |
| 5 | 2.61 |
| 6 | 11.82 |
| 7 | 4.47 |
| 8 | 2.97 |